Record 1
This record from Alexandria describes a relaxed Ba3LiGa3 crystal. The functional is GGA-PBE.

POSCAR file:
```
Ba3LiGa3
1.0
-4.769 0.235 -1.729
0.635 -4.196 5.132
-2.840 10.981 9.329
Ga Ba Li
6 6 2
Direct
0.162 0.324 0.250 Ga
0.950 0.900 0.921 Ga
0.050 0.100 0.421 Ga
0.838 0.676 0.750 Ga
0.050 0.100 0.079 Ga
0.950 0.900 0.579 Ga
0.468 0.936 0.250 Ba
0.250 0.499 0.606 Ba
0.250 0.499 0.894 Ba
0.750 0.501 0.394 Ba
0.750 0.501 0.106 Ba
0.532 0.064 0.750 Ba
0.500 0.000 0.000 Li
0.500 0.000 0.500 Li
```

## Properties
electronic total energy = -37.5 eV for the cell shown
DFT formation energy = -2.0 eV/f.u.



Record 2
This record from Alexandria describes a relaxed BaLi2Ga2 crystal. The functional is GGA-PBE.

POSCAR file:
```
BaLi2Ga2
1.0
8.410 0.000 0.000
0.000 8.410 0.000
0.000 0.000 3.340
Li Ba Ga
4 2 4
Direct
0.673 0.827 0.500 Li
0.173 0.673 0.500 Li
0.327 0.173 0.500 Li
0.827 0.327 0.500 Li
0.000 0.000 0.000 Ba
0.500 0.500 0.000 Ba
0.888 0.612 0.000 Ga
0.388 0.888 0.000 Ga
0.112 0.388 0.000 Ga
0.612 0.112 0.000 Ga
```

## Properties
electronic total energy = -24.7 eV for the cell shown
energy above the most stable polymorph in this dataset = 189.0 meV per atom
DFT formation energy = -0.5 eV/f.u.



Record 3
This record from Alexandria describes a relaxed BaLi12Ga4 crystal. The functional is GGA-PBE.

POSCAR file:
```
BaLi12Ga4
1.0
-6.800 -2.174 -3.481
5.986 -4.293 -2.972
-0.518 -1.242 7.828
Li Ga Ba
12 4 1
Direct
0.474 0.829 0.645 Li
0.829 0.355 0.183 Li
0.829 0.645 0.474 Li
0.183 0.829 0.355 Li
0.526 0.171 0.355 Li
0.645 0.474 0.829 Li
0.645 0.817 0.171 Li
0.817 0.171 0.645 Li
0.171 0.645 0.817 Li
0.355 0.526 0.171 Li
0.355 0.183 0.829 Li
0.171 0.355 0.526 Li
0.000 0.500 0.000 Ga
0.500 0.000 0.000 Ga
0.500 0.500 0.500 Ga
0.000 0.000 0.500 Ga
0.000 0.000 0.000 Ba
```

## Properties
electronic total energy = -36.4 eV for the cell shown
DFT formation energy = 0.6 eV/f.u.